InHgI after structural relaxation. Source: Alexandria via LeMat-Bulk, functional PBE.

Summary:
- energy above the most stable polymorph in this dataset (kcal/mol of atoms) = 1.03
- E_form (uncorrected) (eV per atom) = -0.239
- SG = I4mm, No. 107

```
3
Lattice="-2.070 2.070 6.537 2.070 -2.070 6.537 2.070 2.070 -6.537" Properties=species:S:1:pos:R:3 pbc="T T T"
In 0.000 0.000 0.000
Hg 0.000 0.000 4.314
I 0.000 0.000 8.237
```